Material: CoF5
Method: DFT, PBE+U
State: relaxed Values from VASP.

Quantum ESPRESSO input file:
```
&SYSTEM
  ibrav = 0, nat = 6, ntyp = 2
/
ATOMIC_SPECIES
Co 58.93 Co.upf
F 19.00 F.upf
ATOMIC_POSITIONS crystal
Co 0.000 0.000 0.000
F 0.939 0.317 0.804
F 0.500 0.000 0.000
F 0.061 0.683 0.196
F 0.257 0.804 0.683
F 0.743 0.196 0.317
CELL_PARAMETERS angstrom
-0.043 3.053 2.494
0.193 -1.418 4.856
4.637 1.702 1.113
```

Uncorrected energy = -21.742 eV for the cell shown
Crystal system = tetragonal
Symmetry = I4/m (87)